1.
DFT (PBE-GGA) results for a relaxed structure of LaEuRhAu.

Computed properties:
* total energy: -7.1226 eV per atom
* calculated density: 10.0 g cm⁻³
* formation enthalpy at 0 K: -2.660 eV per formula unit
* crystal system: cubic

Cell and atoms, written as POSCAR:
```
LaEuRhAu
1.0
-1.426 4.076 2.843
-4.133 2.788 -1.370
-4.317 -0.211 2.837
Eu Rh Au La
1 1 1 1
direct
0.750 0.750 0.750
0.500 0.500 0.500
0.000 0.000 0.000
0.250 0.250 0.250
```

***

2.
DFT (PBE-GGA) results for a relaxed structure of LaEuSbAu.

Computed properties:
* total energy: -6.5491 eV per atom
* calculated density: 8.8 g cm⁻³
* crystal system: cubic
* formation energy without anion corrections: -0.90 eV per atom

Cell and atoms, written as POSCAR:
```
LaEuSbAu
1.0
-4.666 -0.359 -2.807
-0.460 -3.594 -4.080
-3.198 -4.383 0.574
Sb La Au Eu
1 1 1 1
direct
0.500 0.500 0.500
0.250 0.250 0.250
0.000 0.000 0.000
0.750 0.750 0.750
```

***

3.
DFT (PBE-GGA) results for a relaxed structure of LaEuSnAu.

Computed properties:
* total energy: -6.3892 eV per atom
* calculated density: 8.7 g cm⁻³
* formation enthalpy at 0 K: -3.075 eV per formula unit
* crystal system: cubic

Cell and atoms, written as POSCAR:
```
LaEuSnAu
1.0
5.472 0.000 0.000
2.736 4.739 0.000
2.736 1.580 4.468
Au Sn Eu La
1 1 1 1
direct
0.750 0.750 0.750
0.250 0.250 0.250
0.000 0.000 0.000
0.500 0.500 0.500
```

***

4.
DFT (PBE-GGA) results for a relaxed structure of LiEu2Au.

Computed properties:
* total energy: -6.6048 eV per atom
* calculated density: 5.4 g cm⁻³
* formation enthalpy at 0 K: -0.679 eV per formula unit
* crystal system: trigonal

Cell and atoms, written as POSCAR:
```
LiEu2Au
1.0
-0.487 -1.169 -3.914
3.098 -1.820 -2.003
-2.626 -10.572 1.322
Li Eu Au
1 2 1
direct
0.000 0.000 0.000
0.109 0.109 0.674
0.891 0.891 0.326
0.500 0.500 0.500
```